The following is a DFT calculation (PBE) of ZrZnCr after structural relaxation.

Lattice parameters (Å, degrees): 4.4287 4.4287 3.1341 90.00 90.00 120.00
Fractional coordinates of all 3 atoms:
Zr 0.0000 0.0000 0.0000
Zn 0.3333 0.6667 0.5019
Cr 0.6667 0.3333 0.4983

Calculated values
Its formation energy is 0.1458 eV per atom.

=====

The following is a DFT calculation (PBE) of HfSnRhAu after structural relaxation.

Lattice parameters (Å, degrees): 6.6625 6.6625 6.6625 90.00 90.00 90.00
Fractional coordinates of all 16 atoms:
Hf 0.0000 0.0000 0.0000
Hf 0.0000 0.5000 0.5000
Hf 0.5000 0.0000 0.5000
Hf 0.5000 0.5000 0.0000
Sn 0.0000 0.0000 0.5000
Sn 0.0000 0.5000 0.0000
Sn 0.5000 0.0000 0.0000
Sn 0.5000 0.5000 0.5000
Rh 0.2500 0.2500 0.2500
Rh 0.2500 0.7500 0.7500
Rh 0.7500 0.2500 0.7500
Rh 0.7500 0.7500 0.2500
Au 0.2500 0.2500 0.7500
Au 0.2500 0.7500 0.2500
Au 0.7500 0.2500 0.2500
Au 0.7500 0.7500 0.7500

Calculated values
Its formation energy is -0.4708 eV per atom.

=====

The following is a DFT calculation (PBE) of Tb2PrTl4 after structural relaxation.

Lattice parameters (Å, degrees): 10.7038 10.7038 10.7038 26.53 26.53 26.53
Fractional coordinates of all 7 atoms:
Tb 0.1299 0.1299 0.1299
Tb 0.8701 0.8701 0.8701
Pr 0.0000 0.0000 0.0000
Tl 0.2421 0.2421 0.2421
Tl 0.3857 0.3857 0.3857
Tl 0.6143 0.6143 0.6143
Tl 0.7579 0.7579 0.7579

Calculated values
Its formation energy is -0.1369 eV per atom. Its energy above the most stable polymorph in this dataset is 88 meV/atom.

=====

The following is a DFT calculation (PBE) of Ag3Br after structural relaxation.

Lattice parameters (Å, degrees): 5.5356 5.5356 5.5356 90.00 90.00 90.00
Fractional coordinates of all 8 atoms:
Ag 0.0000 0.2500 0.5000
Ag 0.0000 0.7500 0.5000
Ag 0.2500 0.5000 0.0000
Ag 0.5000 0.0000 0.2500
Ag 0.5000 0.0000 0.7500
Ag 0.7500 0.5000 0.0000
Br 0.0000 0.0000 0.0000
Br 0.5000 0.5000 0.5000

Calculated values
The raw formation energy comes out at 270 meV/atom. Its energy above the most stable polymorph in this dataset is 288 meV/atom.

=====

The following is a DFT calculation (PBE) of NdGa4Pt6 after structural relaxation.

Lattice parameters (Å, degrees): 7.3864 7.3864 3.9583 90.00 90.00 120.00
Fractional coordinates of all 11 atoms:
Nd 0.0000 0.0000 0.0000
Ga 0.3333 0.6667 0.0000
Ga 0.3965 0.1982 0.5000
Ga 0.8018 0.1982 0.5000
Ga 0.8018 0.6035 0.5000
Pt 0.1966 0.3932 0.5000
Pt 0.1966 0.8034 0.5000
Pt 0.5334 0.0669 0.0000
Pt 0.5334 0.4666 0.0000
Pt 0.6068 0.8034 0.5000
Pt 0.9331 0.4666 0.0000

Calculated values
Its formation energy is -0.8061 eV per atom. Its energy above the most stable polymorph in this dataset is 0 meV/atom.

=====

The following is a DFT calculation (PBE) of SrY2P after structural relaxation.

Lattice parameters (Å, degrees): 3.5784 3.5784 9.6262 90.00 90.00 90.00
Fractional coordinates of all 4 atoms:
Sr 0.0000 0.0000 0.0000
Y 0.5000 0.5000 0.3384
Y 0.5000 0.5000 0.6616
P 0.0000 0.0000 0.5000

Calculated values
Its formation energy is -0.4896 eV per atom.

=====

Number 1: calculated volume 17.745 A^3/atom. Number 2: calculated volume 18.484 A^3/atom. Number 3: calculated volume 30.817 A^3/atom. Number 4: calculated volume 21.203 A^3/atom. Number 5: calculated volume 17.003 A^3/atom. Number 6: calculated volume 30.817 A^3/atom.